Material: TiCo2Re2
Method: DFT, PBE
State: optimized geometry

Cell and atoms, written as extended XYZ:
```
10
Lattice="7.2125 0.0000 0.0000 0.0000 7.2125 0.0000 0.0000 0.0000 2.6169" Properties=species:S:1:pos:R:3 pbc="T T T"
Ti 0.0000 0.0000 0.0000
Ti 3.6063 3.6063 0.0000
Co 0.8588 2.7474 0.0000
Co 2.7474 6.3537 0.0000
Co 4.4651 0.8588 0.0000
Co 6.3537 4.4651 0.0000
Re 1.2726 4.8788 1.3085
Re 2.3337 1.2726 1.3085
Re 4.8788 5.9400 1.3085
Re 5.9400 2.3337 1.3085
```

Summary:
For the formation energy from the elements, the calculation gives -0.01 eV per atom. The value obtained for the volume is 13.6 Å³ per atom. The total DFT energy (no corrections) is -94.118 eV for the cell shown. For the energy relative to the lowest polymorph listed for this composition, the calculation gives 0 meV per atom.